# GGA-PBE Ba2In4Ag5, optimized geometry
data_Ba2In4Ag5
_chemical_formula_sum 'Ba4 In8 Ag10'
_symmetry_space_group_name_H-M 'C 1 2/m 1'
_symmetry_Int_Tables_number 12
_symmetry_space_group_name_Hall '-C 2y'
_cell_length_a 14.454
_cell_length_b 5.846
_cell_length_c 9.447
_cell_angle_alpha 90.00
_cell_angle_beta 128.14
_cell_angle_gamma 90.00
loop_
_atom_site_label
_atom_site_type_symbol
_atom_site_fract_x
_atom_site_fract_y
_atom_site_fract_z
Ba1 Ba 0.203 0.000 0.265
In1 In 0.120 0.000 0.553
In2 In 0.233 0.500 0.057
Ag1 Ag 0.000 0.500 0.000
Ag2 Ag 0.035 0.256 0.762
# energy: -61.0 eV per cell
# formation enthalpy at 0 K: -0.13 eV per atom



# GGA-PBE Ti2RePF, optimized geometry
data_Ti2RePF
_chemical_formula_sum 'Ti2 Re1 P1 F1'
_symmetry_space_group_name_H-M 'P 4/m m m'
_symmetry_Int_Tables_number 123
_symmetry_space_group_name_Hall '-P 4 2'
_cell_length_a 4.017
_cell_length_b 4.017
_cell_length_c 4.306
_cell_angle_alpha 90.00
_cell_angle_beta 90.00
_cell_angle_gamma 90.00
loop_
_atom_site_label
_atom_site_type_symbol
_atom_site_fract_x
_atom_site_fract_y
_atom_site_fract_z
Ti1 Ti 0.000 0.500 0.000
Re1 Re 0.000 0.000 0.500
P1 P 0.500 0.500 0.500
F1 F 0.000 0.000 0.000
# energy: -35.7 eV per cell
# formation energy from raw total energies: -0.2 eV per formula unit



# GGA-PBE SrDyAgHg, optimized geometry
data_SrDyAgHg
_chemical_formula_sum 'Sr4 Dy4 Ag4 Hg4'
_symmetry_space_group_name_H-M 'F -4 3 m'
_symmetry_Int_Tables_number 216
_symmetry_space_group_name_Hall 'F -4 2 3'
_cell_length_a 7.605
_cell_length_b 7.605
_cell_length_c 7.605
_cell_angle_alpha 90.00
_cell_angle_beta 90.00
_cell_angle_gamma 90.00
loop_
_atom_site_label
_atom_site_type_symbol
_atom_site_fract_x
_atom_site_fract_y
_atom_site_fract_z
Sr1 Sr 0.000 0.000 0.000
Dy1 Dy 0.000 0.000 0.500
Ag1 Ag 0.250 0.250 0.250
Hg1 Hg 0.250 0.250 0.750
# energy: -42.9 eV per cell
# formation enthalpy at 0 K: -0.32 eV per atom



Number 1: density of states at the Fermi level 0.5585 states/eV/atom. Number 2: density of states at the Fermi level 0.6580 states/eV/atom. Number 3: density of states at the Fermi level 0.6750 states/eV/atom.